# Ga2PbWO8, relaxed, DFT PBE with a Hubbard U
data_Ga2PbWO8
_chemical_formula_sum 'Ga4 Pb2 W2 O16'
_cell_length_a 6.556
_cell_length_b 6.720
_cell_length_c 6.395
_cell_angle_alpha 90.00
_cell_angle_beta 90.00
_cell_angle_gamma 90.00
_space_group_name_H-M_alt 'C m m m'
_space_group_IT_number 65
_space_group_name_Hall '-C 2 2'
loop_
_atom_site_label
_atom_site_type_symbol
_atom_site_fract_x
_atom_site_fract_y
_atom_site_fract_z
Ga1 Ga 0.000 0.000 0.243
Pb1 Pb 0.000 0.500 0.500
W1 W 0.000 0.500 0.000
O1 O 0.000 0.299 0.220
O2 O 0.181 0.000 0.500
O3 O 0.200 0.000 0.000
# total magnetic moment	0.0	μB per formula unit
# raw total energy	-151.0	eV per cell